This record from Alexandria via LeMat-Bulk describes crystalline SiTeSe at its relaxed geometry. The functional is GGA-PBE.

The density of states at the Fermi level comes out at 0.9 states/eV/f.u. The value obtained for the mass density is 5.26 g/cm³. The total energy is -3.61 eV/atom.

The structure belongs to space group F-43m (No. 216); the cell edges are 6.665, 6.665 and 6.665 Å and the angles 90.00°, 90.00° and 90.00°. The inequivalent atoms are Si at (0.000, 0.000, 0.000), Te at (0.250, 0.250, 0.250) and Se at (0.250, 0.250, 0.750).